[1]
! Li2Zn12Cu5 (PBE, optimized geometry); values from VASP
&SYSTEM
  ibrav = 0, nat = 19, ntyp = 3
/
ATOMIC_SPECIES
Li 6.94 Li.upf
Zn 65.41 Zn.upf
Cu 63.55 Cu.upf
CELL_PARAMETERS angstrom
-1.1963 -3.7310 -1.4619
-0.6817 -5.0105 7.4199
-7.5506 -1.6863 4.5572
ATOMIC_POSITIONS angstrom
Li -5.9730 -2.4498 5.2147
Li -2.2593 -4.2470 6.7624
Zn -7.4899 -6.3676 10.5778
Zn -1.1305 -3.5245 3.9709
Zn -4.2984 -1.9914 2.6507
Zn -2.5186 -5.6932 4.6693
Zn -5.6191 -4.1928 3.3772
Zn -3.5233 -3.1064 4.8470
Zn -5.9053 -7.3214 5.6681
Zn -6.9100 -4.7345 5.8458
Zn -3.8096 -6.2350 7.1379
Zn -8.2981 -6.9033 6.5443
Zn -5.1302 -8.4363 7.8645
Zn -1.9388 -4.0602 -0.0627
Cu -1.9261 -2.4471 1.7800
Cu -3.2438 -4.6145 2.4250
Cu -0.5982 -1.8655 -0.7310
Cu -6.1849 -5.8133 8.0902
Cu -7.5025 -7.9806 8.7352
! SG   C2/m (12)

=====

[2]
! Li2Zn4Cu5 (PBE, optimized geometry); values from VASP
&SYSTEM
  ibrav = 0, nat = 11, ntyp = 3
/
ATOMIC_SPECIES
Li 6.94 Li.upf
Zn 65.41 Zn.upf
Cu 63.55 Cu.upf
CELL_PARAMETERS angstrom
4.9780 0.0000 0.0000
2.4890 5.0661 -0.2610
2.4890 0.9607 6.0618
ATOMIC_POSITIONS angstrom
Li 4.9780 3.8347 4.1253
Li 4.9780 2.1921 1.6754
Zn 2.4890 0.6670 2.7804
Zn 7.4670 5.3598 3.0204
Zn 7.4670 3.9466 5.2542
Zn 2.4890 2.0803 0.5466
Cu 3.7011 1.6091 4.9570
Cu 6.2549 4.4178 0.8438
Cu 2.4890 3.0134 2.9004
Cu 6.2549 1.6091 4.9570
Cu 3.7011 4.4178 0.8438
! SG   C2/m (12)
! Distance to the lowest polymorph of the same formula   0.071 eV/atom

=====

[3]
! LiZn2Cu (PBE, optimized geometry); values from VASP
&SYSTEM
  ibrav = 0, nat = 4, ntyp = 3
/
ATOMIC_SPECIES
Zn 65.41 Zn.upf
Cu 63.55 Cu.upf
Li 6.94 Li.upf
CELL_PARAMETERS angstrom
2.9697 0.4848 0.0000
-0.4856 2.9696 0.0000
0.0000 0.0000 6.0128
ATOMIC_POSITIONS angstrom
Zn 0.0000 0.0000 0.0587
Zn 0.0000 0.0000 2.9477
Cu 1.2421 1.7272 1.5032
Li 1.2421 1.7272 4.5096
! SG   P4/mmm (123)

=====

[4]
! LiZn8Cu2 (PBE, optimized geometry); values from VASP
&SYSTEM
  ibrav = 0, nat = 11, ntyp = 3
/
ATOMIC_SPECIES
Li 6.94 Li.upf
Zn 65.41 Zn.upf
Cu 63.55 Cu.upf
CELL_PARAMETERS angstrom
3.8198 0.0000 -1.0173
-0.4420 5.9330 -1.6596
-0.1849 -0.3291 6.9857
ATOMIC_POSITIONS angstrom
Li 1.9099 0.0000 -0.5086
Zn 2.0360 2.7144 -0.0350
Zn 1.0535 0.3046 3.9560
Zn 0.3884 1.0892 1.4583
Zn -0.1564 4.3153 -0.5874
Zn 2.8045 4.5147 2.8506
Zn 2.1393 5.2993 0.3528
Zn 1.1568 2.8895 4.3438
Zn 3.3493 1.2886 4.8962
Cu 0.5199 3.6780 1.9522
Cu 2.6729 1.9259 2.3566
! SG   C2/m (12)
! Distance to the lowest polymorph of the same formula   0.000 eV/atom

=====

[5]
! LiZnCu (PBE, optimized geometry); values from VASP
&SYSTEM
  ibrav = 0, nat = 6, ntyp = 3
/
ATOMIC_SPECIES
Zn 65.41 Zn.upf
Cu 63.55 Cu.upf
Li 6.94 Li.upf
CELL_PARAMETERS angstrom
-1.1069 -4.0701 -0.3100
-0.6041 -2.2995 3.4978
-6.1500 -0.6082 1.0948
ATOMIC_POSITIONS angstrom
Zn -2.6973 -3.8238 2.1341
Zn -5.1637 -3.1541 2.1484
Cu -1.3423 -1.9136 1.0670
Cu -6.5188 -5.0643 3.2155
Li -3.8512 -5.7885 3.2001
Li -4.0099 -1.1893 1.0825
! SG   R-3m (166)
! Distance to the lowest polymorph of the same formula   0.161 eV/atom

=====

[6]
! Li4Zn3Cu4 (PBE, optimized geometry); values from VASP
&SYSTEM
  ibrav = 0, nat = 11, ntyp = 3
/
ATOMIC_SPECIES
Li 6.94 Li.upf
Zn 65.41 Zn.upf
Cu 63.55 Cu.upf
CELL_PARAMETERS angstrom
2.4694 -0.0891 0.7259
-0.0415 3.8777 0.6173
2.2773 -0.4760 15.7945
ATOMIC_POSITIONS angstrom
Li 0.8634 1.6863 1.9746
Li 3.8418 1.6264 15.1632
Li 3.6892 0.3319 10.7542
Li 1.0159 2.9808 6.3836
Zn 2.6602 1.2143 5.1408
Zn 2.0449 2.0983 11.9969
Zn 2.4694 -0.0890 0.7259
Cu 1.7390 3.3827 3.9251
Cu 2.7960 2.5134 9.4774
Cu 1.9091 0.7992 7.6605
Cu 2.9661 -0.0701 13.2126
! SG   P-1 (2)
! Distance to the lowest polymorph of the same formula   0.000 eV/atom

=====

[7]
! Li4ZnCu5 (PBE, optimized geometry); values from VASP
&SYSTEM
  ibrav = 0, nat = 10, ntyp = 3
/
ATOMIC_SPECIES
Li 6.94 Li.upf
Zn 65.41 Zn.upf
Cu 63.55 Cu.upf
CELL_PARAMETERS angstrom
4.6757 0.0000 0.0000
2.3378 5.3979 0.0000
2.3378 0.0000 5.3979
ATOMIC_POSITIONS angstrom
Li 4.4750 2.0682 4.9652
Li 6.8128 4.9652 3.3297
Li 2.1371 0.4327 2.0682
Li 4.4750 3.3297 0.4327
Zn 0.8487 0.0000 0.0000
Cu 6.7731 2.0393 3.7252
Cu 4.4353 3.7252 3.3586
Cu 4.4353 1.6727 2.0393
Cu 6.7731 3.3586 1.6727
Cu 3.3017 0.0000 0.0000
! SG   I4 (79)

=====

[8]
! LiZn8Cu5 (PBE, optimized geometry); values from VASP
&SYSTEM
  ibrav = 0, nat = 14, ntyp = 3
/
ATOMIC_SPECIES
Li 6.94 Li.upf
Zn 65.41 Zn.upf
Cu 63.55 Cu.upf
CELL_PARAMETERS angstrom
6.4188 -0.1941 0.3336
-2.3545 5.9746 -0.3336
-1.7099 -3.1169 5.3584
ATOMIC_POSITIONS angstrom
Li -0.8549 0.6011 3.9354
Zn -0.9759 4.1077 0.2542
Zn 4.6302 -1.8743 3.7786
Zn 3.5517 0.3705 1.9576
Zn 1.7336 -0.6065 5.0462
Zn 1.5014 2.6511 1.3764
Zn 0.1313 2.8456 4.4892
Zn 0.9234 0.2483 2.1947
Zn -2.0776 2.9122 2.3364
Cu -0.6296 1.5657 0.6015
Cu 3.0570 4.7492 1.0636
Cu 2.3051 1.5754 3.9360
Cu 2.3545 -1.6555 2.8460
Cu -0.0234 -2.5630 5.1155
! SG   I-4 (82)
! Distance to the lowest polymorph of the same formula   0.000 eV/atom

=====

Number 1: formation energy from the elements -6 kJ/mol of atoms, DOS at the Fermi energy 5.53 states/eV per cell. Number 2: formation energy from the elements -3 kJ/mol of atoms, DOS at the Fermi energy 2.92 states/eV per cell. Number 3: formation energy from the elements -13 kJ/mol of atoms, DOS at the Fermi energy 1.33 states/eV per cell. Number 4: formation energy from the elements -7 kJ/mol of atoms, DOS at the Fermi energy 2.91 states/eV per cell. Number 5: formation energy from the elements 2 kJ/mol of atoms, DOS at the Fermi energy 2.21 states/eV per cell. Number 6: formation energy from the elements -11 kJ/mol of atoms, DOS at the Fermi energy 3.18 states/eV per cell. Number 7: formation energy from the elements 12 kJ/mol of atoms, DOS at the Fermi energy 2.82 states/eV per cell. Number 8: formation energy from the elements 2 kJ/mol of atoms, DOS at the Fermi energy 4.39 states/eV per cell.